Entry 1:
A relaxed HoMn3Si3 crystal, computed with PBE-GGA.

```
HoMn3Si3
1.0
-0.318 1.292 -6.162
-1.251 -6.060 -1.206
-6.170 1.162 0.563
Si Mn Ho
6 6 2
direct
0.000 0.250 0.500
0.000 0.750 0.500
0.500 0.000 0.750
0.750 0.500 0.000
0.500 0.000 0.250
0.250 0.500 0.000
0.250 0.000 0.500
0.000 0.500 0.250
0.500 0.750 0.000
0.750 0.000 0.500
0.000 0.500 0.750
0.500 0.250 0.000
0.500 0.500 0.500
0.000 0.000 0.000
```

Results
Formation energy (no corrections) (meV per atom): 216
Space-group type: Pm-3n
Fermi-level density of states (states/eV/f.u.): 4.072
Raw total energy (eV per atom): -6.692
Theoretical density (g/cm³): 5.5
Total magnetization (μB/cell): 7.718


Entry 2:
A relaxed HoMnSi crystal, computed with PBE-GGA.

```
HoMnSi
1.0
4.084 0.000 0.000
0.000 6.936 0.000
0.000 0.000 7.544
Ho Mn Si
4 4 4
direct
0.250 0.509 0.814
0.750 0.491 0.186
0.250 0.009 0.686
0.750 0.991 0.314
0.750 0.861 0.940
0.250 0.139 0.060
0.750 0.361 0.560
0.250 0.639 0.440
0.250 0.788 0.110
0.750 0.212 0.890
0.250 0.288 0.390
0.750 0.712 0.610
```

Results
Formation energy (no corrections) (meV per atom): -521
Space-group type: Pnma
Fermi-level density of states (states/eV/f.u.): 2.498
Raw total energy (eV per atom): -6.911
Theoretical density (g/cm³): 7.7
Total magnetization (μB/cell): 9.333


Entry 3:
A relaxed Ho2Mn3Si5 crystal, computed with PBE-GGA.

```
Ho2Mn3Si5
1.0
10.562 0.000 0.000
0.000 10.562 0.000
0.000 0.000 5.404
Ho Mn Si
8 12 20
direct
0.236 0.076 0.000
0.076 0.764 0.000
0.924 0.236 0.000
0.764 0.924 0.000
0.264 0.576 0.500
0.736 0.424 0.500
0.576 0.736 0.500
0.424 0.264 0.500
0.500 0.000 0.250
0.000 0.500 0.250
0.500 0.000 0.750
0.000 0.500 0.750
0.354 0.379 0.000
0.379 0.646 0.000
0.621 0.354 0.000
0.646 0.621 0.000
0.146 0.879 0.500
0.854 0.121 0.500
0.879 0.854 0.500
0.121 0.146 0.500
0.000 0.000 0.257
0.500 0.500 0.243
0.000 0.000 0.743
0.500 0.500 0.757
0.674 0.174 0.250
0.174 0.326 0.250
0.826 0.674 0.250
0.326 0.826 0.250
0.326 0.826 0.750
0.826 0.674 0.750
0.174 0.326 0.750
0.674 0.174 0.750
0.475 0.185 0.000
0.185 0.525 0.000
0.815 0.475 0.000
0.525 0.815 0.000
0.025 0.685 0.500
0.975 0.315 0.500
0.685 0.975 0.500
0.315 0.025 0.500
```

Results
Formation energy (no corrections) (meV per atom): -633
Space-group type: P4/mnc
Fermi-level density of states (states/eV/f.u.): 4.553
Raw total energy (eV per atom): -7.011
Theoretical density (g/cm³): 7.0
Total magnetization (μB/cell): 0.835